# Ac5Au2N

An optimized crystal structure of Ac5Au2N (PBE-GGA, Alexandria via LeMat-Bulk).

Unit cell a=18.6989 b=7.1372 c=7.8345 alpha=90.00 beta=95.56 gamma=90.00
Last column: nearest neighbours and their distance in Å.
Space group C2/c (No. 15)
Unique sites:
Ac  0.0000  0.0668  0.2500 [4 per cell]  4 Au 3.17-3.21
Ac  0.1136  0.3756  0.9395 [8 per cell]  1 N 2.70
Ac  0.2190  0.0651  0.2975 [8 per cell]  2 N 2.78-2.79
Au  0.1078  0.1976  0.5643 [8 per cell]  6 Ac 3.17-3.23
N  0.2500  0.2500  0.0000 [4 per cell]  6 Ac 2.70-2.79

Its crystal system is monoclinic. The total moment is 0.000 μB per atom. The value obtained for the uncorrected formation energy is -670 meV per atom. The energy above the most stable polymorph in this dataset comes out at 0 meV per atom.